[1]
PBE La2Zn3Cu, optimized geometry; magnetization = 0.0 Bohr magnetons per cell; E = -39.303 eV per cell; symmetry = Fmmm; energy of formation = -0.3131 eV per atom; calculated volume = 22.32 Å³ per atom
1.0
0.000 4.625 7.969
3.634 0.000 7.969
3.634 4.625 0.000
La Zn Cu
4 6 2
direct
0.243 0.757 0.757
0.250 0.250 0.250
0.750 0.750 0.750
0.757 0.243 0.243
0.165 0.667 0.333
0.332 0.332 0.668
0.333 0.835 0.165
0.667 0.165 0.835
0.668 0.668 0.332
0.835 0.333 0.667
0.167 0.167 0.833
0.833 0.833 0.167

---

[2]
PBE PbBr2F, optimized geometry; energy above the lowest structure with this stoichiometry = 264 meV per atom; magnetization = 4.0 Bohr magnetons per cell; ΔE_f (raw) = -653 meV per atom; E = -46.152 eV per cell; symmetry = Fm-3m; calculated volume = 24.03 Å³ per atom
1.0
7.272 0.000 0.000
0.000 7.272 0.000
0.000 0.000 7.272
Pb Br F
4 8 4
direct
0.000 0.000 0.000
0.000 0.500 0.500
0.500 0.000 0.500
0.500 0.500 0.000
0.250 0.250 0.250
0.250 0.250 0.750
0.250 0.750 0.250
0.250 0.750 0.750
0.750 0.250 0.250
0.750 0.250 0.750
0.750 0.750 0.250
0.750 0.750 0.750
0.000 0.000 0.500
0.000 0.500 0.000
0.500 0.000 0.000
0.500 0.500 0.500

---

[3]
PBE ZrHgAs2O8, optimized geometry; magnetization = 0.0 Bohr magnetons per cell; ΔE_f (raw) = -1489 meV per atom; E = -75.677 eV per cell; symmetry = P-3m1; calculated volume = 14.96 Å³ per atom
1.0
5.589 0.000 0.000
-2.794 4.840 0.000
0.000 0.000 6.635
Zr Hg As O
1 1 2 8
direct
0.000 0.000 0.000
0.000 0.000 0.500
0.333 0.667 0.701
0.667 0.333 0.299
0.167 0.334 0.800
0.167 0.833 0.800
0.333 0.667 0.451
0.334 0.167 0.200
0.666 0.833 0.800
0.667 0.333 0.549
0.833 0.167 0.200
0.833 0.666 0.200

---

[4]
PBE RbHg2F, optimized geometry; energy above the lowest structure with this stoichiometry = 642 meV per atom; magnetization = 0.0 Bohr magnetons per cell; ΔE_f (raw) = -636 meV per atom; E = -17.965 eV per cell; symmetry = R-3m; calculated volume = 42.36 Å³ per atom
1.0
5.019 0.000 0.000
-2.509 4.347 0.000
0.000 0.000 23.302
Rb Hg F
3 6 3
direct
0.000 0.000 0.000
0.333 0.667 0.667
0.667 0.333 0.333
0.000 0.000 0.141
0.000 0.000 0.859
0.333 0.667 0.525
0.333 0.667 0.808
0.667 0.333 0.192
0.667 0.333 0.475
0.000 0.000 0.500
0.333 0.667 0.167
0.667 0.333 0.833

---

[5]
PBE Tb3AgPt, optimized geometry; magnetization = 1.6 Bohr magnetons per cell; E = -51.473 eV per cell; symmetry = Cmcm; energy of formation = -0.5908 eV per atom; calculated volume = 24.84 Å³ per atom
1.0
2.535 -9.691 0.000
2.535 9.691 0.000
0.000 0.000 5.056
Tb Ag Pt
6 2 2
direct
0.067 0.933 0.750
0.250 0.750 0.750
0.431 0.569 0.750
0.569 0.431 0.250
0.750 0.250 0.250
0.933 0.067 0.250
0.156 0.844 0.250
0.844 0.156 0.750
0.339 0.661 0.250
0.661 0.339 0.750

---

[6]
PBE TbPaOsSe, optimized geometry; magnetization = 0.0 Bohr magnetons per cell; ΔE_f (raw) = -853 meV per atom; E = -96.761 eV per cell; symmetry = R3m; calculated volume = 24.71 Å³ per atom
1.0
3.963 0.000 0.000
-1.981 3.432 0.000
0.000 0.000 21.799
Tb Pa Os Se
3 3 3 3
direct
0.000 0.000 0.000
0.333 0.667 0.667
0.667 0.333 0.333
0.000 0.000 0.812
0.333 0.667 0.479
0.667 0.333 0.145
0.000 0.000 0.415
0.333 0.667 0.081
0.667 0.333 0.748
0.000 0.000 0.239
0.333 0.667 0.906
0.667 0.333 0.572

---

[7]
PBE Ag2BWCl, optimized geometry; magnetization = 2.1 Bohr magnetons per cell; ΔE_f (raw) = 851 meV per atom; E = -22.924 eV per cell; symmetry = P4/mmm; calculated volume = 17.24 Å³ per atom
1.0
4.438 0.000 0.000
0.000 4.438 0.000
0.000 0.000 4.377
Ag B W Cl
2 1 1 1
direct
0.000 0.500 0.000
0.500 0.000 0.000
0.000 0.000 0.000
0.000 0.000 0.500
0.500 0.500 0.500

---

[8]
PBE BeS5, optimized geometry; magnetization = 0.0 Bohr magnetons per cell; ΔE_f (raw) = -25 meV per atom; E = -24.513 eV per cell; symmetry = P1; calculated volume = 23.61 Å³ per atom
1.0
3.668 0.000 0.000
-1.080 4.457 0.000
-0.912 -1.901 8.667
Be S
1 5
direct
0.000 0.000 0.000
0.028 0.178 0.419
0.258 0.952 0.579
0.395 0.593 0.432
0.548 0.638 0.946
0.570 0.238 0.030

---

- Which value of E does entry 3 give?
  -75.677 eV per cell